No. 1
Crystalline TaPtBr2 at its relaxed geometry. Source: Alexandria via LeMat-Bulk, functional PBE.

Calculated values
- E_form (uncorrected): 0.8659 eV per atom
- Offset from the most stable computed form: 29.52 kcal/mol of atoms

a b c (Å): 5.053 5.053 3.099
angles (deg): 90.00 90.00 104.10
Sites, in units of the cell vectors:
Ta (0.000, 0.000, 0.000)
Pt (0.500, 0.500, 0.000)
Br (0.000, 0.500, 0.500)
Br (0.500, 0.000, 0.500)

=====

No. 2
Crystalline TaPtBr2 at its relaxed geometry. Source: Alexandria via LeMat-Bulk, functional PBE.

Calculated values
- E_form (uncorrected): 0.4870 eV per atom
- Offset from the most stable computed form: 20.78 kcal/mol of atoms

a b c (Å): 3.259 3.259 9.471
angles (deg): 90.00 90.00 124.10
Sites, in units of the cell vectors:
Ta (0.000, 0.000, 0.000)
Pt (0.000, 0.000, 0.500)
Br (0.500, 0.500, 0.227)
Br (0.500, 0.500, 0.773)

=====

No. 3
Crystalline TaPtBr2 at its relaxed geometry. Source: Alexandria via LeMat-Bulk, functional PBE.

Calculated values
- E_form (uncorrected): -0.1894 eV per atom
- Offset from the most stable computed form: 5.19 kcal/mol of atoms

a b c (Å): 7.990 7.990 7.990
angles (deg): 157.65 146.45 40.69
Sites, in units of the cell vectors:
Ta (0.000, 0.000, 0.000)
Pt (0.500, 0.500, 0.000)
Br (0.145, 0.645, 0.500)
Br (0.855, 0.355, 0.500)

=====

No. 4
Crystalline TaPt2Br at its relaxed geometry. Source: Alexandria via LeMat-Bulk, functional PBE.

Calculated values
- E_form (uncorrected): 0.0157 eV per atom
- Offset from the most stable computed form: 6.82 kcal/mol of atoms

a b c (Å): 3.003 3.003 8.316
angles (deg): 90.00 90.00 90.00
Sites, in units of the cell vectors:
Ta (0.000, 0.000, 0.000)
Pt (0.000, 0.000, 0.560)
Pt (0.500, 0.500, 0.793)
Br (0.500, 0.500, 0.213)

=====

No. 5
Crystalline TaPt3Br at its relaxed geometry. Source: Alexandria via LeMat-Bulk, functional PBE.

Calculated values
- E_form (uncorrected): 1.4200 eV per atom
- Offset from the most stable computed form: 9.19 kcal/mol of atoms

a b c (Å): 4.688 4.688 4.688
angles (deg): 90.00 90.00 90.00
Sites, in units of the cell vectors:
Ta (0.000, 0.000, 0.000)
Pt (0.000, 0.500, 0.500)
Pt (0.500, 0.000, 0.500)
Pt (0.500, 0.500, 0.000)
Br (0.500, 0.500, 0.500)

=====

No. 6
Crystalline TaPtBr2 at its relaxed geometry. Source: Alexandria via LeMat-Bulk, functional PBE.

Calculated values
- E_form (uncorrected): -0.4143 eV per atom
- Offset from the most stable computed form: 0.00 kcal/mol of atoms

a b c (Å): 3.635 3.320 8.494
angles (deg): 90.00 102.29 90.00
Sites, in units of the cell vectors:
Ta (0.000, 0.000, 0.000)
Pt (0.569, 0.500, 0.138)
Br (0.164, 0.000, 0.331)
Br (0.878, 0.500, 0.755)

=====

> What is the formula in the first record?

TaPtBr2

=====

> What is the formula in the fifth record?

TaPt3Br

=====

What did the first record say?
Crystalline TaPtBr2 at its relaxed geometry. Source: Alexandria via LeMat-Bulk, functional PBE.

Calculated values
- E_form (uncorrected): 0.8659 eV per atom
- Offset from the most stable computed form: 29.52 kcal/mol of atoms

a b c (Å): 5.053 5.053 3.099
angles (deg): 90.00 90.00 104.10
Sites, in units of the cell vectors:
Ta (0.000, 0.000, 0.000)
Pt (0.500, 0.500, 0.000)
Br (0.000, 0.500, 0.500)
Br (0.500, 0.000, 0.500)